*one*
The following is a PBE calculation of a geometry-optimized SrP2AuCl structure, from Alexandria via LeMat-Bulk.

abc: 6.065 6.065 5.392
angles: 90.00 90.00 90.00
Fractional positions:
Sr 0.000 0.000 0.000
P 0.000 0.500 0.000
P 0.500 0.000 0.000
Au 0.500 0.500 0.500
Cl 0.000 0.000 0.500

---

*two*
The following is a PBE calculation of a geometry-optimized SrP2AuCl structure, from Alexandria via LeMat-Bulk.

abc: 4.701 4.701 6.191
angles: 90.00 90.00 90.00
Fractional positions:
Sr 0.000 0.000 0.000
P 0.000 0.500 0.500
P 0.500 0.000 0.500
Au 0.500 0.500 0.500
Cl 0.500 0.500 0.000

---

Which is most stable, and by how much? *two*, by 89.6 kJ/mol of atoms.